Density functional theory data (GGA-PBE) for a relaxed structure of Cu3AgF.

Geometry as POSCAR:
```
Cu3AgF
1.0
-2.2555 2.5326 -3.3247
-2.2538 -3.9186 -1.4560
-3.5197 0.8863 3.0629
Cu Ag F
3 1 1
Direct
0.0000 0.5000 0.0000 Cu
0.0000 0.0000 0.5000 Cu
0.5000 0.0000 0.0000 Cu
0.0000 0.0000 0.0000 Ag
0.5000 0.5000 0.5000 F
```

Computed properties:
Size of the total moment: 0.00 μB per cell
Total DFT energy (no corrections): -2.637 eV per atom
Formation energy from raw total energies: 766 meV/atom